[1]
# Zr2SbIr PBE-GGA optimized geometry
# * ΔE_f (raw): -0.5562 eV/atom
# * size of the total moment: 0.00 μB per formula unit
data_Zr2SbIr
_space_group_name_H-M_alt 'C m m m'
_space_group_IT_number 65
_space_group_name_Hall '-C 2 2'
_cell_length_a 4.2408
_cell_length_b 4.6831
_cell_length_c 8.1784
_cell_angle_alpha 90.00
_cell_angle_beta 90.00
_cell_angle_gamma 90.00
loop_
_atom_site_label
_atom_site_type_symbol
_atom_site_fract_x
_atom_site_fract_y
_atom_site_fract_z
_atom_site_occupancy
Zr1 Zr 0.0000 0.0000 0.2216 1
Sb1 Sb 0.0000 0.5000 0.5000 1
Ir1 Ir 0.0000 0.5000 0.0000 1


[2]
# ZrSbIr2 PBE-GGA optimized geometry
# * ΔE_f (raw): -0.3054 eV/atom
# * size of the total moment: 0.00 μB per formula unit
data_ZrSbIr2
_space_group_name_H-M_alt 'P 4/m m m'
_space_group_IT_number 123
_space_group_name_Hall '-P 4 2'
_cell_length_a 3.1549
_cell_length_b 3.1549
_cell_length_c 7.4253
_cell_angle_alpha 90.00
_cell_angle_beta 90.00
_cell_angle_gamma 90.00
loop_
_atom_site_label
_atom_site_type_symbol
_atom_site_fract_x
_atom_site_fract_y
_atom_site_fract_z
_atom_site_occupancy
Zr1 Zr 0.0000 0.0000 0.0000 1
Sb1 Sb 0.0000 0.0000 0.5000 1
Ir1 Ir 0.5000 0.5000 0.2372 1


[3]
# Zr2SbIr PBE-GGA optimized geometry
# * ΔE_f (raw): -0.5588 eV/atom
# * size of the total moment: 0.00 μB per formula unit
data_Zr2SbIr
_space_group_name_H-M_alt 'I m m m'
_space_group_IT_number 71
_space_group_name_Hall '-I 2 2'
_cell_length_a 4.1020
_cell_length_b 4.6151
_cell_length_c 8.3799
_cell_angle_alpha 90.00
_cell_angle_beta 90.00
_cell_angle_gamma 90.00
loop_
_atom_site_label
_atom_site_type_symbol
_atom_site_fract_x
_atom_site_fract_y
_atom_site_fract_z
_atom_site_occupancy
Zr1 Zr 0.0000 0.0000 0.2383 1
Sb1 Sb 0.0000 0.5000 0.0000 1
Ir1 Ir 0.0000 0.5000 0.5000 1


Number 1: D(E_F) 6.14 states/eV/cell. Number 2: D(E_F) 2.19 states/eV/cell. Number 3: D(E_F) 7.31 states/eV/cell.